Record 1
# DyTh2Zr (PBE, optimized geometry)
data_DyTh2Zr
_cell_length_a 7.7656
_cell_length_b 7.7656
_cell_length_c 7.7656
_cell_angle_alpha 90.00
_cell_angle_beta 90.00
_cell_angle_gamma 90.00
_symmetry_space_group_name_H-M 'F m -3 m'
_symmetry_Int_Tables_number 225
_symmetry_space_group_name_Hall '-F 4 2 3'
loop_
_atom_site_label
_atom_site_type_symbol
_atom_site_fract_x
_atom_site_fract_y
_atom_site_fract_z
_atom_site_occupancy
Dy1 Dy 0.0000 0.0000 0.0000 1
Th1 Th 0.2500 0.2500 0.2500 1
Zr1 Zr 0.0000 0.0000 0.5000 1
# - N(E_F) (states/eV/f.u.) = 5.2
# - V (Å³ per cell) = 468.3
# - magnetic moment (μB/cell) = 0.00
# - E above lowest polymorph (kJ/mol of atoms) = 4.5
# - total energy (eV/atom) = -6.86
# - crystal system = cubic
# - formation energy from the elements (kJ/mol of atoms) = 13

***

Record 2
# DyTh2Zr (PBE, optimized geometry)
data_DyTh2Zr
_cell_length_a 3.3996
_cell_length_b 3.3996
_cell_length_c 36.2353
_cell_angle_alpha 90.00
_cell_angle_beta 90.00
_cell_angle_gamma 120.00
_symmetry_space_group_name_H-M 'R -3 m'
_symmetry_Int_Tables_number 166
_symmetry_space_group_name_Hall '-R 3 2"'
loop_
_atom_site_label
_atom_site_type_symbol
_atom_site_fract_x
_atom_site_fract_y
_atom_site_fract_z
_atom_site_occupancy
Dy1 Dy 0.0000 0.0000 0.0000 1
Th1 Th 0.0000 0.0000 0.4160 1
Zr1 Zr 0.0000 0.0000 0.5000 1
# - N(E_F) (states/eV/f.u.) = 5.8
# - V (Å³ per cell) = 362.7
# - magnetic moment (μB/cell) = 0.00
# - E above lowest polymorph (kJ/mol of atoms) = 22.0
# - total energy (eV/atom) = -6.68
# - crystal system = trigonal
# - formation energy from the elements (kJ/mol of atoms) = 31

***

Record 3
# DyTi6 (PBE, optimized geometry)
data_DyTi6
_cell_length_a 6.9255
_cell_length_b 6.9255
_cell_length_c 6.9255
_cell_angle_alpha 90.00
_cell_angle_beta 90.00
_cell_angle_gamma 90.00
_symmetry_space_group_name_H-M 'I m -3 m'
_symmetry_Int_Tables_number 229
_symmetry_space_group_name_Hall '-I 4 2 3'
loop_
_atom_site_label
_atom_site_type_symbol
_atom_site_fract_x
_atom_site_fract_y
_atom_site_fract_z
_atom_site_occupancy
Dy1 Dy 0.0000 0.0000 0.0000 1
Ti1 Ti 0.0000 0.2500 0.5000 1
# - N(E_F) (states/eV/f.u.) = 12.2
# - V (Å³ per cell) = 332.2
# - magnetic moment (μB/cell) = 14.38
# - total energy (eV/atom) = -6.04
# - crystal system = cubic
# - formation energy from the elements (kJ/mol of atoms) = 134

***

Record 4
# DyTi3 (PBE, optimized geometry)
data_DyTi3
_cell_length_a 3.0884
_cell_length_b 4.8068
_cell_length_c 5.5079
_cell_angle_alpha 90.00
_cell_angle_beta 90.00
_cell_angle_gamma 90.00
_symmetry_space_group_name_H-M 'P m m 2'
_symmetry_Int_Tables_number 25
_symmetry_space_group_name_Hall 'P 2 -2'
loop_
_atom_site_label
_atom_site_type_symbol
_atom_site_fract_x
_atom_site_fract_y
_atom_site_fract_z
_atom_site_occupancy
Dy1 Dy 0.0000 0.0000 0.0000 1
Ti1 Ti 0.0000 0.5000 0.6510 1
Ti2 Ti 0.5000 0.0000 0.4961 1
Ti3 Ti 0.5000 0.5000 0.2172 1
# - N(E_F) (states/eV/f.u.) = 4.6
# - V (Å³ per cell) = 81.8
# - magnetic moment (μB/cell) = 0.00
# - total energy (eV/atom) = -6.88
# - crystal system = orthorhombic
# - formation energy from the elements (kJ/mol of atoms) = 19

***

Record 5
# Dy5Ti (PBE, optimized geometry)
data_Dy5Ti
_cell_length_a 4.8449
_cell_length_b 14.5415
_cell_length_c 4.8814
_cell_angle_alpha 90.00
_cell_angle_beta 90.00
_cell_angle_gamma 90.00
_symmetry_space_group_name_H-M 'C m m m'
_symmetry_Int_Tables_number 65
_symmetry_space_group_name_Hall '-C 2 2'
loop_
_atom_site_label
_atom_site_type_symbol
_atom_site_fract_x
_atom_site_fract_y
_atom_site_fract_z
_atom_site_occupancy
Dy1 Dy 0.0000 0.0000 0.0000 1
Dy2 Dy 0.0000 0.1581 0.5000 1
Dy3 Dy 0.0000 0.3398 0.0000 1
Ti1 Ti 0.0000 0.5000 0.5000 1
# - N(E_F) (states/eV/f.u.) = 7.8
# - V (Å³ per cell) = 343.9
# - magnetic moment (μB/cell) = 0.84
# - total energy (eV/atom) = -5.01
# - crystal system = orthorhombic
# - formation energy from the elements (kJ/mol of atoms) = 13

***

Record 6
# Dy3Ti (PBE, optimized geometry)
data_Dy3Ti
_cell_length_a 4.7736
_cell_length_b 4.7736
_cell_length_c 4.7736
_cell_angle_alpha 90.00
_cell_angle_beta 90.00
_cell_angle_gamma 90.00
_symmetry_space_group_name_H-M 'P m -3 m'
_symmetry_Int_Tables_number 221
_symmetry_space_group_name_Hall '-P 4 2 3'
loop_
_atom_site_label
_atom_site_type_symbol
_atom_site_fract_x
_atom_site_fract_y
_atom_site_fract_z
_atom_site_occupancy
Dy1 Dy 0.0000 0.0000 0.5000 1
Ti1 Ti 0.5000 0.5000 0.5000 1
# - N(E_F) (states/eV/f.u.) = 5.8
# - V (Å³ per cell) = 108.8
# - magnetic moment (μB/cell) = 0.01
# - total energy (eV/atom) = -5.22
# - crystal system = cubic
# - formation energy from the elements (kJ/mol of atoms) = 19

***

Record 7
# DyTi (PBE, optimized geometry)
data_DyTi
_cell_length_a 3.2262
_cell_length_b 5.0681
_cell_length_c 5.7974
_cell_angle_alpha 90.00
_cell_angle_beta 90.00
_cell_angle_gamma 90.00
_symmetry_space_group_name_H-M 'P m m n'
_symmetry_Int_Tables_number 59
loop_
_symmetry_equiv_pos_as_xyz
'x,y,z'
'-x,-y,-z'
'-x+1/2,-y+1/2,z'
'x+1/2,y+1/2,-z'
'x+1/2,-y,-z'
'-x+1/2,y,z'
'-x,y+1/2,-z'
'x,-y+1/2,z'
loop_
_atom_site_label
_atom_site_type_symbol
_atom_site_fract_x
_atom_site_fract_y
_atom_site_fract_z
_atom_site_occupancy
Dy1 Dy 0.2500 0.2500 0.1118 1
Ti1 Ti 0.2500 0.7500 0.4285 1
# - N(E_F) (states/eV/f.u.) = 3.1
# - V (Å³ per cell) = 94.8
# - magnetic moment (μB/cell) = 0.00
# - total energy (eV/atom) = -5.98
# - crystal system = orthorhombic
# - formation energy from the elements (kJ/mol of atoms) = 26

***

Record 8
# Dy3Ti (PBE, optimized geometry)
data_Dy3Ti
_cell_length_a 3.2772
_cell_length_b 3.3017
_cell_length_c 10.5294
_cell_angle_alpha 90.00
_cell_angle_beta 90.00
_cell_angle_gamma 90.00
_symmetry_space_group_name_H-M 'P m m 2'
_symmetry_Int_Tables_number 25
_symmetry_space_group_name_Hall 'P 2 -2'
loop_
_atom_site_label
_atom_site_type_symbol
_atom_site_fract_x
_atom_site_fract_y
_atom_site_fract_z
_atom_site_occupancy
Dy1 Dy 0.0000 0.0000 0.0000 1
Dy2 Dy 0.0000 0.5000 0.2998 1
Dy3 Dy 0.5000 0.5000 0.7487 1
Ti1 Ti 0.5000 0.0000 0.4978 1
# - N(E_F) (states/eV/f.u.) = 5.9
# - V (Å³ per cell) = 113.9
# - magnetic moment (μB/cell) = 0.00
# - total energy (eV/atom) = -5.08
# - crystal system = orthorhombic
# - formation energy from the elements (kJ/mol of atoms) = 34

***

Record 9
# Dy2Ti (PBE, optimized geometry)
data_Dy2Ti
_cell_length_a 3.3586
_cell_length_b 3.3586
_cell_length_c 13.9914
_cell_angle_alpha 90.00
_cell_angle_beta 90.00
_cell_angle_gamma 90.00
_symmetry_space_group_name_H-M 'I 4/m m m'
_symmetry_Int_Tables_number 139
_symmetry_space_group_name_Hall '-I 4 2'
loop_
_atom_site_label
_atom_site_type_symbol
_atom_site_fract_x
_atom_site_fract_y
_atom_site_fract_z
_atom_site_occupancy
Dy1 Dy 0.0000 0.0000 0.1506 1
Ti1 Ti 0.0000 0.0000 0.5000 1
# - N(E_F) (states/eV/f.u.) = 5.0
# - V (Å³ per cell) = 157.8
# - magnetic moment (μB/cell) = 0.00
# - total energy (eV/atom) = -5.51
# - crystal system = tetragonal
# - formation energy from the elements (kJ/mol of atoms) = 19

***

Record 10
# Dy3Ti (PBE, optimized geometry)
data_Dy3Ti
_cell_length_a 3.4613
_cell_length_b 10.8301
_cell_length_c 5.9331
_cell_angle_alpha 90.00
_cell_angle_beta 90.00
_cell_angle_gamma 90.00
_symmetry_space_group_name_H-M 'I m m 2'
_symmetry_Int_Tables_number 44
_symmetry_space_group_name_Hall 'I 2 -2'
loop_
_atom_site_label
_atom_site_type_symbol
_atom_site_fract_x
_atom_site_fract_y
_atom_site_fract_z
_atom_site_occupancy
Dy1 Dy 0.0000 0.0000 0.0000 1
Dy2 Dy 0.0000 0.2315 0.3682 1
Ti1 Ti 0.0000 0.5000 0.0291 1
# - N(E_F) (states/eV/f.u.) = 5.8
# - V (Å³ per cell) = 222.4
# - magnetic moment (μB/cell) = 1.99
# - total energy (eV/atom) = -5.24
# - crystal system = orthorhombic
# - formation energy from the elements (kJ/mol of atoms) = 18